Record 1
## NaGaPb2Se4 (GGA-PBE)

Data for a relaxed structure of NaGaPb2Se4.

Output
Its space group is Imma, No. 74. The value obtained for the uncorrected formation energy is -0.55 eV/atom.

a = 8.341 Å, b = 8.341 Å, c = 8.419 Å
α = 120.31°, β = 120.31°, γ = 88.77°
Atoms (fractional coordinates):
Se: 0.269 0.715 0.492
Se: 0.731 0.285 0.508
Se: 0.756 0.744 0.521
Se: 0.215 0.769 0.992
Se: 0.244 0.256 0.021
Se: 0.244 0.256 0.479
Se: 0.756 0.744 0.979
Se: 0.785 0.231 0.008
Na: 0.000 0.500 0.000
Na: 0.000 0.500 0.500
Pb: 0.500 0.500 0.000
Pb: 0.000 0.000 0.500
Pb: 0.500 0.000 0.000
Pb: 0.500 0.000 0.500
Ga: 0.000 0.000 0.000
Ga: 0.500 0.500 0.500

---

Record 2
## Tl2Hg2Sb (GGA-PBE)

Data for a relaxed structure of Tl2Hg2Sb.

Output
The energy above the lowest structure with this stoichiometry comes out at 20.9 meV/atom. Its space group is P4/mbm, No. 127. The value obtained for the uncorrected formation energy is 0.02 eV/atom.

a = 7.735 Å, b = 7.735 Å, c = 5.037 Å
α = 90.00°, β = 90.00°, γ = 90.00°
Atoms (fractional coordinates):
Sb: 0.000 0.000 0.000
Sb: 0.500 0.500 0.000
Tl: 0.826 0.326 0.500
Tl: 0.674 0.826 0.500
Tl: 0.174 0.674 0.500
Tl: 0.326 0.174 0.500
Hg: 0.865 0.635 0.000
Hg: 0.635 0.135 0.000
Hg: 0.135 0.365 0.000
Hg: 0.365 0.865 0.000

---

Record 3
## CoAsPb2 (GGA-PBE)

Data for a relaxed structure of CoAsPb2.

Output
The formation energy comes out at 621 meV per atom. Its space group is F-43m, No. 216.

a = 5.030 Å, b = 5.030 Å, c = 5.030 Å
α = 60.00°, β = 60.00°, γ = 60.00°
Atoms (fractional coordinates):
Pb: 0.000 0.000 0.000
Pb: 0.250 0.250 0.250
Co: 0.750 0.750 0.750
As: 0.500 0.500 0.500

---

Record 4
## Sr2Ga3Au (GGA-PBE)

Data for a relaxed structure of Sr2Ga3Au.

Output
The energy above the lowest structure with this stoichiometry comes out at 0.0 meV/atom. The formation energy comes out at -576 meV per atom. Its space group is Pmm2, No. 25.

a = 4.318 Å, b = 4.498 Å, c = 7.976 Å
α = 90.00°, β = 90.00°, γ = 90.00°
Atoms (fractional coordinates):
Sr: 0.000 0.000 0.496
Sr: 0.000 0.500 0.004
Ga: 0.500 0.000 0.833
Ga: 0.500 0.500 0.669
Ga: 0.500 0.000 0.163
Au: 0.500 0.500 0.336

---

Record 5
## NdSm3Er2Te6 (GGA-PBE)

Data for a relaxed structure of NdSm3Er2Te6.

Output
Its space group is C2/m, No. 12. The value obtained for the uncorrected formation energy is -1.33 eV/atom.

a = 4.378 Å, b = 8.890 Å, c = 9.863 Å
α = 102.72°, β = 102.82°, γ = 90.00°
Atoms (fractional coordinates):
Er: 0.836 0.670 0.671
Er: 0.164 0.330 0.329
Sm: 0.500 0.500 0.000
Sm: 0.160 0.833 0.320
Sm: 0.840 0.167 0.680
Te: 0.670 0.578 0.341
Te: 0.005 0.256 0.010
Te: 0.995 0.744 0.990
Te: 0.329 0.907 0.658
Te: 0.671 0.093 0.342
Te: 0.330 0.422 0.659
Nd: 0.500 0.000 0.000

---

Record 6
## MnFe2Ag (GGA-PBE)

Data for a relaxed structure of MnFe2Ag.

Output
The energy above the lowest structure with this stoichiometry comes out at 115.0 meV/atom. The formation energy comes out at 394 meV per atom. Its space group is P4/mmm, No. 123.

a = 4.012 Å, b = 3.743 Å, c = 3.743 Å
α = 90.00°, β = 90.00°, γ = 90.00°
Atoms (fractional coordinates):
Mn: 0.500 0.500 0.000
Fe: 0.000 0.500 0.500
Fe: 0.000 0.000 0.000
Ag: 0.500 0.000 0.500

---

Number 1: E_tot -3.763 eV per atom, Fermi-level density of states 0.29 states/eV/atom, volume 25.9 Å³/atom. Number 2: E_tot -1.870 eV per atom, Fermi-level density of states 0.35 states/eV/atom, volume 30.1 Å³/atom. Number 3: E_tot -4.172 eV per atom, Fermi-level density of states 1.30 states/eV/atom, volume 22.5 Å³/atom. Number 4: E_tot -3.196 eV per atom, Fermi-level density of states 0.54 states/eV/atom, volume 25.8 Å³/atom. Number 5: E_tot -5.243 eV per atom, Fermi-level density of states 0.56 states/eV/atom, volume 30.4 Å³/atom. Number 6: E_tot -6.842 eV per atom, Fermi-level density of states 1.01 states/eV/atom, volume 14.1 Å³/atom.